1.
DFT (meta-GGA SCAN) results for Al2PtPb at its PBEsol-relaxed geometry.

- formation energy from the elements (kJ/mol of atoms) = 6.8
- volume (Å³ per atom) = 18.8
- calculated total energy (eV for the cell shown) = -161.2

abc: 4.7412 4.7412 4.7412
angles: 60.00 60.00 60.00
Positions (direct):
Pb 0.5000 0.5000 0.5000
Al 0.0000 0.0000 0.0000
Al 0.7500 0.7500 0.7500
Pt 0.2500 0.2500 0.2500


2.
DFT (meta-GGA SCAN) results for YAs2Pb at its PBEsol-relaxed geometry.

- formation energy from the elements (kJ/mol of atoms) = -54.4
- volume (Å³ per atom) = 22.7
- calculated total energy (eV for the cell shown) = -146.3

abc: 4.1597 4.1597 6.0240
angles: 110.20 110.20 90.00
Positions (direct):
Pb 0.5000 0.5000 0.0000
Y 0.2500 0.7500 0.5000
As 0.0000 0.0000 0.0000
As 0.7500 0.2500 0.5000


3.
DFT (meta-GGA SCAN) results for OsPt2Cl at its PBEsol-relaxed geometry.

- uncorrected formation energy (kJ/mol of formula units) = 394
- volume (Å³ per atom) = 15.3
- calculated total energy (eV for the cell shown) = -216.2

abc: 4.4245 4.4245 4.4245
angles: 60.00 60.00 60.00
Positions (direct):
Os 0.5000 0.5000 0.5000
Pt 0.7500 0.7500 0.7500
Pt 0.2500 0.2500 0.2500
Cl 0.0000 0.0000 0.0000


4.
DFT (meta-GGA SCAN) results for KVTeO5 at its PBEsol-relaxed geometry.

- uncorrected formation energy (kJ/mol of formula units) = -1563
- volume (Å³ per atom) = 14.9
- calculated total energy (eV for the cell shown) = -441.7

abc: 6.3823 6.8326 11.3312
angles: 90.00 90.00 105.65
Positions (direct):
K 0.8212 0.8425 0.6847
K 0.1788 0.6575 0.1847
K 0.1788 0.1575 0.3153
K 0.8212 0.3425 0.8153
V 0.3444 0.5982 0.8755
V 0.6556 0.9018 0.3755
V 0.6556 0.4018 0.1245
V 0.3444 0.0982 0.6245
Te 0.7668 0.9056 0.0608
Te 0.2332 0.5944 0.5608
Te 0.2332 0.0944 0.9392
Te 0.7668 0.4056 0.4392
O 0.8868 0.9938 0.9083
O 0.1132 0.5062 0.4083
O 0.1132 0.0062 0.0917
O 0.8868 0.4938 0.5917
O 0.4622 0.7873 0.9815
O 0.5378 0.7127 0.4815
O 0.5378 0.2127 0.0185
O 0.4622 0.2873 0.5185
O 0.1663 0.6767 0.7926
O 0.8337 0.8233 0.2926
O 0.8337 0.3233 0.2074
O 0.1663 0.1767 0.7074
O 0.1948 0.8667 0.5481
O 0.8052 0.6333 0.0481
O 0.8052 0.1333 0.4519
O 0.1948 0.3667 0.9519
O 0.5277 0.0475 0.7113
O 0.4723 0.4525 0.2113
O 0.4723 0.9525 0.2887
O 0.5277 0.5475 0.7887


5.
DFT (meta-GGA SCAN) results for SiTePb2 at its PBEsol-relaxed geometry.

- uncorrected formation energy (kJ/mol of formula units) = 155
- volume (Å³ per atom) = 26.4
- calculated total energy (eV for the cell shown) = -197.2

abc: 3.3134 3.3134 11.2716
angles: 81.55 81.55 60.00
Positions (direct):
Pb 0.2387 0.2387 0.2838
Pb 0.7613 0.7613 0.7162
Si 0.5000 0.5000 0.5000
Te 0.0000 0.0000 0.0000


6.
DFT (meta-GGA SCAN) results for Si2TcTe at its PBEsol-relaxed geometry.

- uncorrected formation energy (kJ/mol of formula units) = 57
- volume (Å³ per atom) = 17.2
- calculated total energy (eV for the cell shown) = -91.7

abc: 3.1043 3.1043 7.1437
angles: 90.00 90.00 90.00
Positions (direct):
Si 0.0000 0.0000 0.0821
Si 0.5000 0.5000 0.2687
Tc 0.0000 0.0000 0.4515
Te 0.5000 0.5000 0.6977


7.
DFT (meta-GGA SCAN) results for Sb7O6F9 at its PBEsol-relaxed geometry.

- uncorrected formation energy (kJ/mol of formula units) = -4053
- volume (Å³ per atom) = 15.9
- calculated total energy (eV for the cell shown) = -744.2

abc: 5.5477 5.8621 21.6834
angles: 97.77 90.00 90.00
Positions (direct):
Sb 0.6999 0.4742 0.6486
Sb 0.6999 0.3256 0.3514
Sb 0.7502 0.6717 0.9452
Sb 0.7502 0.2264 0.0548
Sb 0.7304 0.0199 0.5000
Sb 0.6953 0.2529 0.7890
Sb 0.6953 0.9639 0.2110
Sb 0.3047 0.4639 0.2110
Sb 0.3047 0.7529 0.7890
Sb 0.2696 0.5199 0.5000
Sb 0.2498 0.1717 0.9452
Sb 0.2498 0.7264 0.0548
Sb 0.3001 0.9742 0.6486
Sb 0.3001 0.8256 0.3514
O 0.0000 0.0518 0.0000
O 0.0000 0.5518 0.0000
O 0.4727 0.7670 0.7031
O 0.4727 0.5639 0.2969
O 0.4265 0.0686 0.8193
O 0.4265 0.7493 0.1807
O 0.5000 0.5489 0.0000
O 0.5000 0.0489 0.0000
O 0.5735 0.2493 0.1807
O 0.5735 0.5686 0.8193
O 0.5273 0.2670 0.7031
O 0.5273 0.0639 0.2969
F 0.7690 0.3299 0.9066
F 0.7690 0.9232 0.0934
F 0.9526 0.4889 0.7137
F 0.9526 0.2752 0.2863
F 0.9413 0.3854 0.5000
F 0.8639 0.0588 0.3953
F 0.8639 0.1635 0.6047
F 0.6049 0.7986 0.5608
F 0.6049 0.7378 0.4392
F 0.3951 0.2986 0.5608
F 0.3951 0.2378 0.4392
F 0.1361 0.6635 0.6047
F 0.1361 0.5588 0.3953
F 0.0587 0.8854 0.5000
F 0.0474 0.9889 0.7137
F 0.0474 0.7752 0.2863
F 0.2310 0.8299 0.9066
F 0.2310 0.4232 0.0934


8.
DFT (meta-GGA SCAN) results for La2Y at its PBEsol-relaxed geometry.

- formation energy from the elements (kJ/mol of atoms) = 2.8
- volume (Å³ per atom) = 33.5
- calculated total energy (eV for the cell shown) = -227.9

abc: 3.6508 6.8490 8.6000
angles: 103.50 90.00 105.46
Positions (direct):
Y 0.3033 0.6066 0.3638
Y 0.6967 0.3934 0.6362
La 0.9722 0.9444 0.6937
La 0.3605 0.7210 0.9696
La 0.6395 0.2790 0.0304
La 0.0278 0.0556 0.3063


9.
DFT (meta-GGA SCAN) results for YCoAg2S at its PBEsol-relaxed geometry.

- uncorrected formation energy (kJ/mol of formula units) = 95
- volume (Å³ per atom) = 18.7
- calculated total energy (eV for the cell shown) = -116.5

abc: 4.0634 4.8030 4.8030
angles: 90.00 90.00 90.00
Positions (direct):
Y 0.5000 0.5000 0.5000
S 0.0000 0.0000 0.0000
Co 0.5000 0.0000 0.0000
Ag 0.0000 0.0000 0.5000
Ag 0.0000 0.5000 0.0000


10.
DFT (meta-GGA SCAN) results for TaZn3Co at its PBEsol-relaxed geometry.

- formation energy from the elements (kJ/mol of atoms) = 85.3
- volume (Å³ per atom) = 15.8
- calculated total energy (eV for the cell shown) = -120.0

abc: 4.2864 4.2864 4.2864
angles: 90.00 90.00 90.00
Positions (direct):
Zn 0.0000 0.5000 0.0000
Zn 0.0000 0.0000 0.5000
Zn 0.5000 0.0000 0.0000
Co 0.0000 0.0000 0.0000
Ta 0.5000 0.5000 0.5000


11.
DFT (meta-GGA SCAN) results for CoNi2Rh at its PBEsol-relaxed geometry.

- formation energy from the elements (kJ/mol of atoms) = 1.8
- volume (Å³ per atom) = 11.4
- calculated total energy (eV for the cell shown) = -83.3

abc: 2.5339 4.3702 4.3702
angles: 110.05 90.00 90.00
Positions (direct):
Ni 0.0000 0.5000 0.0000
Ni 0.0000 0.0000 0.5000
Rh 0.5000 0.0000 0.0000
Co 0.5000 0.5000 0.5000


12.
DFT (meta-GGA SCAN) results for Ce2Ga5Au3 at its PBEsol-relaxed geometry.

- formation energy from the elements (kJ/mol of atoms) = -60.8
- volume (Å³ per atom) = 19.7
- calculated total energy (eV for the cell shown) = -384.6

abc: 4.2011 4.2011 11.1602
angles: 90.00 90.00 90.00
Positions (direct):
Ce 0.5000 0.0000 0.2463
Ce 0.0000 0.5000 0.7537
Ga 0.5000 0.5000 0.0000
Ga 0.0000 0.0000 0.0000
Ga 0.5000 0.0000 0.8701
Ga 0.0000 0.5000 0.1299
Ga 0.5000 0.5000 0.5000
Au 0.5000 0.0000 0.6520
Au 0.0000 0.5000 0.3480
Au 0.0000 0.0000 0.5000